Entry 1:
VASP calculation (PBE) on crystalline Nd3Si2Rh4 at its relaxed geometry.

a = 5.800 Å, b = 5.800 Å, c = 8.798 Å
α = 109.76°, β = 109.76°, γ = 41.92°
Fractional positions:
Nd 0.000 0.000 0.000
Nd 0.374 0.374 0.306
Nd 0.626 0.626 0.694
Si 0.342 0.342 0.692
Si 0.658 0.658 0.308
Rh 0.146 0.146 0.435
Rh 0.283 0.283 0.927
Rh 0.717 0.717 0.073
Rh 0.854 0.854 0.565

* VASP energy: -6.92 eV per atom
* space-group type: C2/m, No. 12
* calculated volume: 184 Å³/cell

Entry 2:
VASP calculation (PBE) on crystalline NdSi3Rh3 at its relaxed geometry.

a = 6.506 Å, b = 6.506 Å, c = 6.506 Å
α = 90.00°, β = 90.00°, γ = 90.00°
Fractional positions:
Nd 0.000 0.000 0.000
Nd 0.500 0.500 0.500
Si 0.000 0.250 0.500
Si 0.000 0.750 0.500
Si 0.250 0.500 0.000
Si 0.500 0.000 0.250
Si 0.500 0.000 0.750
Si 0.750 0.500 0.000
Rh 0.000 0.500 0.250
Rh 0.000 0.500 0.750
Rh 0.250 0.000 0.500
Rh 0.500 0.250 0.000
Rh 0.500 0.750 0.000
Rh 0.750 0.000 0.500

* VASP energy: -6.73 eV per atom
* distance to the lowest polymorph of the same formula: 85.6 meV per atom
* space-group type: Pm-3n, No. 223
* calculated volume: 275 Å³/cell

Entry 3:
VASP calculation (PBE) on crystalline Nd3Si3Rh at its relaxed geometry.

a = 5.919 Å, b = 5.919 Å, c = 13.946 Å
α = 109.77°, β = 109.77°, γ = 43.06°
Fractional positions:
Nd 0.020 0.020 0.375
Nd 0.102 0.102 0.920
Nd 0.246 0.246 0.228
Nd 0.754 0.754 0.772
Nd 0.898 0.898 0.080
Nd 0.980 0.980 0.625
Si 0.363 0.363 0.456
Si 0.392 0.392 0.925
Si 0.444 0.444 0.761
Si 0.556 0.556 0.239
Si 0.608 0.608 0.075
Si 0.637 0.637 0.544
Rh 0.254 0.254 0.582
Rh 0.746 0.746 0.418

* VASP energy: -6.25 eV per atom
* space-group type: C2/m, No. 12
* calculated volume: 311 Å³/cell

Entry 4:
VASP calculation (PBE) on crystalline NdSi3Rh3 at its relaxed geometry.

a = 7.939 Å, b = 7.939 Å, c = 7.939 Å
α = 49.90°, β = 49.90°, γ = 49.90°
Fractional positions:
Nd 0.168 0.168 0.168
Nd 0.832 0.832 0.832
Si 0.130 0.699 0.386
Si 0.301 0.614 0.870
Si 0.386 0.130 0.699
Si 0.614 0.870 0.301
Si 0.699 0.386 0.130
Si 0.870 0.301 0.614
Rh 0.001 0.598 0.265
Rh 0.265 0.001 0.598
Rh 0.402 0.735 0.999
Rh 0.598 0.265 0.001
Rh 0.735 0.999 0.402
Rh 0.999 0.402 0.735

* VASP energy: -6.81 eV per atom
* distance to the lowest polymorph of the same formula: 0.0 meV per atom
* space-group type: R-3, No. 148
* calculated volume: 269 Å³/cell

Entry 5:
VASP calculation (PBE) on crystalline NdSi2Rh3 at its relaxed geometry.

a = 6.684 Å, b = 6.684 Å, c = 6.684 Å
α = 114.79°, β = 86.20°, γ = 130.31°
Fractional positions:
Nd 0.463 0.213 0.250
Nd 0.537 0.787 0.750
Si 0.120 0.698 0.422
Si 0.223 0.302 0.922
Si 0.777 0.698 0.078
Si 0.880 0.302 0.578
Rh 0.000 0.000 0.500
Rh 0.000 0.217 0.217
Rh 0.000 0.500 0.000
Rh 0.000 0.783 0.783
Rh 0.500 0.217 0.717
Rh 0.500 0.783 0.283

* VASP energy: -7.33 eV per atom
* distance to the lowest polymorph of the same formula: 0.0 meV per atom
* space-group type: Imma, No. 74
* calculated volume: 197 Å³/cell

Entry 6:
VASP calculation (PBE) on crystalline NdSi2Rh3 at its relaxed geometry.

a = 8.272 Å, b = 8.272 Å, c = 9.804 Å
α = 107.40°, β = 107.40°, γ = 28.01°
Fractional positions:
Nd 0.000 0.000 0.000
Nd 0.160 0.160 0.700
Nd 0.840 0.840 0.300
Si 0.196 0.196 0.127
Si 0.362 0.362 0.554
Si 0.467 0.467 0.227
Si 0.533 0.533 0.773
Si 0.638 0.638 0.446
Si 0.804 0.804 0.873
Rh 0.042 0.042 0.332
Rh 0.218 0.218 0.393
Rh 0.324 0.324 0.042
Rh 0.377 0.377 0.800
Rh 0.500 0.500 0.500
Rh 0.623 0.623 0.200
Rh 0.676 0.676 0.958
Rh 0.782 0.782 0.607
Rh 0.958 0.958 0.668

* VASP energy: -7.24 eV per atom
* distance to the lowest polymorph of the same formula: 90.0 meV per atom
* space-group type: C2/m, No. 12
* calculated volume: 300 Å³/cell

Entry 7:
VASP calculation (PBE) on crystalline Nd3SiRh2 at its relaxed geometry.

a = 11.933 Å, b = 3.953 Å, c = 12.398 Å
α = 90.00°, β = 90.00°, γ = 90.00°
Fractional positions:
Nd 0.065 0.250 0.118
Nd 0.126 0.750 0.553
Nd 0.197 0.250 0.807
Nd 0.303 0.750 0.307
Nd 0.374 0.250 0.053
Nd 0.435 0.750 0.618
Nd 0.565 0.250 0.382
Nd 0.626 0.750 0.947
Nd 0.697 0.250 0.693
Nd 0.803 0.750 0.193
Nd 0.874 0.250 0.447
Nd 0.935 0.750 0.882
Si 0.120 0.250 0.360
Si 0.380 0.750 0.860
Si 0.620 0.250 0.140
Si 0.880 0.750 0.640
Rh 0.022 0.750 0.308
Rh 0.196 0.750 0.977
Rh 0.304 0.250 0.477
Rh 0.478 0.250 0.808
Rh 0.522 0.750 0.192
Rh 0.696 0.750 0.523
Rh 0.804 0.250 0.023
Rh 0.978 0.250 0.692

* VASP energy: -6.44 eV per atom
* space-group type: Pnma, No. 62
* calculated volume: 585 Å³/cell

Entry 8:
VASP calculation (PBE) on crystalline NdSi3Rh9 at its relaxed geometry.

a = 6.902 Å, b = 6.902 Å, c = 6.303 Å
α = 96.73°, β = 96.73°, γ = 136.76°
Fractional positions:
Nd 0.000 0.000 0.000
Si 0.000 0.500 0.000
Si 0.500 0.000 0.000
Si 0.500 0.500 0.500
Rh 0.000 0.000 0.500
Rh 0.050 0.687 0.675
Rh 0.292 0.519 0.771
Rh 0.313 0.950 0.325
Rh 0.481 0.708 0.229
Rh 0.519 0.292 0.771
Rh 0.687 0.050 0.675
Rh 0.708 0.481 0.229
Rh 0.950 0.313 0.325

* VASP energy: -7.26 eV per atom
* space-group type: C2/m, No. 12
* calculated volume: 195 Å³/cell

Entry 9:
VASP calculation (PBE) on crystalline NdSi4Rh12 at its relaxed geometry.

a = 7.128 Å, b = 7.128 Å, c = 7.128 Å
α = 109.47°, β = 109.47°, γ = 109.47°
Fractional positions:
Nd 0.000 0.000 0.000
Si 0.000 0.000 0.500
Si 0.000 0.500 0.000
Si 0.500 0.000 0.000
Si 0.500 0.500 0.500
Rh 0.157 0.496 0.339
Rh 0.157 0.818 0.661
Rh 0.182 0.339 0.843
Rh 0.339 0.157 0.496
Rh 0.339 0.843 0.182
Rh 0.496 0.339 0.157
Rh 0.504 0.661 0.843
Rh 0.661 0.157 0.818
Rh 0.661 0.843 0.504
Rh 0.818 0.661 0.157
Rh 0.843 0.182 0.339
Rh 0.843 0.504 0.661

* VASP energy: -6.94 eV per atom
* space-group type: Im-3, No. 204
* calculated volume: 279 Å³/cell

Entry 10:
VASP calculation (PBE) on crystalline Nd2Si7Rh12 at its relaxed geometry.

a = 9.783 Å, b = 9.783 Å, c = 3.886 Å
α = 90.00°, β = 90.00°, γ = 120.00°
Fractional positions:
Nd 0.333 0.667 0.250
Nd 0.667 0.333 0.750
Si 0.000 0.000 0.500
Si 0.108 0.710 0.751
Si 0.290 0.397 0.751
Si 0.397 0.108 0.249
Si 0.603 0.892 0.751
Si 0.710 0.603 0.249
Si 0.892 0.290 0.249
Rh 0.062 0.442 0.752
Rh 0.119 0.261 0.255
Rh 0.142 0.881 0.255
Rh 0.261 0.142 0.745
Rh 0.381 0.938 0.752
Rh 0.442 0.381 0.248
Rh 0.558 0.619 0.752
Rh 0.619 0.062 0.248
Rh 0.739 0.858 0.255
Rh 0.858 0.119 0.745
Rh 0.881 0.739 0.745
Rh 0.938 0.558 0.248

* VASP energy: -7.41 eV per atom
* space-group type: P-3, No. 147
* calculated volume: 322 Å³/cell

Entry 11:
VASP calculation (PBE) on crystalline NdSi3Rh at its relaxed geometry.

a = 5.892 Å, b = 5.627 Å, c = 5.753 Å
α = 90.00°, β = 90.00°, γ = 90.00°
Fractional positions:
Nd 0.000 0.144 0.000
Nd 0.500 0.856 0.500
Si 0.000 0.957 0.514
Si 0.213 0.331 0.494
Si 0.287 0.669 0.994
Si 0.500 0.043 0.014
Si 0.713 0.669 0.994
Si 0.787 0.331 0.494
Rh 0.000 0.622 0.276
Rh 0.500 0.378 0.776

* VASP energy: -6.33 eV per atom
* space-group type: Pmn2_1, No. 31
* calculated volume: 191 Å³/cell

Entry 12:
VASP calculation (PBE) on crystalline Nd2SiRh at its relaxed geometry.

a = 5.717 Å, b = 4.306 Å, c = 8.202 Å
α = 90.00°, β = 106.37°, γ = 90.00°
Fractional positions:
Nd 0.205 0.250 0.422
Nd 0.281 0.750 0.069
Nd 0.719 0.250 0.931
Nd 0.795 0.750 0.578
Si 0.349 0.750 0.713
Si 0.651 0.250 0.287
Rh 0.167 0.250 0.781
Rh 0.833 0.750 0.219

* VASP energy: -6.30 eV per atom
* space-group type: P2_1/m, No. 11
* calculated volume: 194 Å³/cell